# 1
A relaxed Ho2CdPd crystal. Source: Alexandria via LeMat-Bulk, functional PBE-GGA.

Computed properties:
Offset from the most stable computed form   0.055 eV per atom
Symmetry   No. 225
ΔH_f (0 K)   -216 kJ/mol of formula units

abc: 7.2134 7.2134 7.2134
angles: 90.00 90.00 90.00
Positions (direct):
Ho (0.2500, 0.2500, 0.2500)
Ho (0.2500, 0.2500, 0.7500)
Ho (0.2500, 0.7500, 0.2500)
Ho (0.2500, 0.7500, 0.7500)
Ho (0.7500, 0.2500, 0.2500)
Ho (0.7500, 0.2500, 0.7500)
Ho (0.7500, 0.7500, 0.2500)
Ho (0.7500, 0.7500, 0.7500)
Cd (0.0000, 0.0000, 0.0000)
Cd (0.0000, 0.5000, 0.5000)
Cd (0.5000, 0.0000, 0.5000)
Cd (0.5000, 0.5000, 0.0000)
Pd (0.0000, 0.0000, 0.5000)
Pd (0.0000, 0.5000, 0.0000)
Pd (0.5000, 0.0000, 0.0000)
Pd (0.5000, 0.5000, 0.5000)

# 2
A relaxed NaTl6Sn2 crystal. Source: Alexandria via LeMat-Bulk, functional PBE-GGA.

Computed properties:
Offset from the most stable computed form   0.000 eV per atom
Symmetry   No. 12
ΔH_f (0 K)   -17 kJ/mol of formula units

abc: 6.7227 6.7227 11.6228
angles: 105.39 105.39 31.89
Positions (direct):
Na (0.0000, 0.0000, 0.0000)
Tl (0.0203, 0.0203, 0.3349)
Tl (0.3243, 0.3243, 0.4230)
Tl (0.3420, 0.3420, 0.1103)
Tl (0.6580, 0.6580, 0.8897)
Tl (0.6757, 0.6757, 0.5770)
Tl (0.9797, 0.9797, 0.6651)
Sn (0.3261, 0.3261, 0.7962)
Sn (0.6739, 0.6739, 0.2038)

# 3
A relaxed Bi crystal. Source: Alexandria via LeMat-Bulk, functional PBE-GGA.

Computed properties:
Offset from the most stable computed form   0.044 eV per atom
Symmetry   No. 51
ΔH_f (0 K)   4 kJ/mol of formula units

abc: 6.4746 3.2722 3.2956
angles: 90.00 90.00 90.00
Positions (direct):
Bi (0.2500, 0.0000, 0.0788)
Bi (0.7500, 0.0000, 0.9212)

# 4
A relaxed Ho3ZrS6 crystal. Source: Alexandria via LeMat-Bulk, functional PBE-GGA.

Computed properties:
Formation energy from raw total energies   -1.8733 eV per atom
Symmetry   No. 148

abc: 7.8930 7.8930 7.8930
angles: 91.85 91.85 91.85
Positions (direct):
Ho (0.0762, 0.5846, 0.7515)
Ho (0.2485, 0.9238, 0.4154)
Ho (0.4154, 0.2485, 0.9238)
Ho (0.5846, 0.7515, 0.0762)
Ho (0.7515, 0.0762, 0.5846)
Ho (0.9238, 0.4154, 0.2485)
Zr (0.0000, 0.0000, 0.0000)
Zr (0.5000, 0.5000, 0.5000)
S (0.0444, 0.9138, 0.6869)
S (0.0862, 0.3131, 0.9556)
S (0.1893, 0.5789, 0.4178)
S (0.3131, 0.9556, 0.0862)
S (0.4178, 0.1893, 0.5789)
S (0.4211, 0.5822, 0.8107)
S (0.5789, 0.4178, 0.1893)
S (0.5822, 0.8107, 0.4211)
S (0.6869, 0.0444, 0.9138)
S (0.8107, 0.4211, 0.5822)
S (0.9138, 0.6869, 0.0444)
S (0.9556, 0.0862, 0.3131)

# 5
A relaxed ScHRh3 crystal. Source: Alexandria via LeMat-Bulk, functional PBE-GGA.

Computed properties:
Offset from the most stable computed form   1.013 eV per atom
Symmetry   No. 160

abc: 5.1474 5.1474 13.3576
angles: 90.00 90.00 120.00
Positions (direct):
Sc (0.0000, 0.0000, 0.0000)
Sc (0.3333, 0.6667, 0.6667)
Sc (0.6667, 0.3333, 0.3333)
H (0.0000, 0.0000, 0.7517)
H (0.3333, 0.6667, 0.4184)
H (0.6667, 0.3333, 0.0850)
Rh (0.1684, 0.3368, 0.8336)
Rh (0.1684, 0.8316, 0.8336)
Rh (0.3299, 0.1649, 0.1669)
Rh (0.5017, 0.0035, 0.5002)
Rh (0.5017, 0.4983, 0.5002)
Rh (0.6632, 0.8316, 0.8336)
Rh (0.8351, 0.1649, 0.1669)
Rh (0.8351, 0.6701, 0.1669)
Rh (0.9965, 0.4983, 0.5002)

# 6
A relaxed Sr2Ac4Bi3N2 crystal. Source: Alexandria via LeMat-Bulk, functional PBE-GGA.

Computed properties:
Formation energy from raw total energies   -0.9509 eV per atom
Symmetry   No. 139

abc: 14.2379 14.2379 14.2379
angles: 158.96 158.96 29.92
Positions (direct):
Sr (0.1957, 0.1957, 0.0000)
Sr (0.8043, 0.8043, 0.0000)
Ac (0.0870, 0.5870, 0.5000)
Ac (0.4130, 0.9130, 0.5000)
Ac (0.5870, 0.0870, 0.5000)
Ac (0.9130, 0.4130, 0.5000)
Bi (0.3223, 0.3223, 0.0000)
Bi (0.5000, 0.5000, 0.0000)
Bi (0.6777, 0.6777, 0.0000)
N (0.1024, 0.1024, 0.0000)
N (0.8976, 0.8976, 0.0000)

# 7
A relaxed Sm2Ga4IrPd3 crystal. Source: Alexandria via LeMat-Bulk, functional PBE-GGA.

Computed properties:
Symmetry   No. 115
ΔH_f (0 K)   -752 kJ/mol of formula units

abc: 4.2934 4.2934 10.2879
angles: 90.00 90.00 90.00
Positions (direct):
Sm (0.0000, 0.5000, 0.2446)
Sm (0.5000, 0.0000, 0.7554)
Ga (0.0000, 0.0000, 0.5000)
Ga (0.0000, 0.5000, 0.8717)
Ga (0.5000, 0.0000, 0.1283)
Ga (0.5000, 0.5000, 0.5000)
Ir (0.5000, 0.5000, 0.0000)
Pd (0.0000, 0.0000, 0.0000)
Pd (0.0000, 0.5000, 0.6317)
Pd (0.5000, 0.0000, 0.3683)

# 8
A relaxed Tb2SmDy6Mg crystal. Source: Alexandria via LeMat-Bulk, functional PBE-GGA.

Computed properties:
Symmetry   No. 15
ΔH_f (0 K)   109 kJ/mol of formula units

abc: 10.9014 10.9014 6.6014
angles: 94.14 94.14 125.61
Positions (direct):
Tb (0.1536, 0.3200, 0.4977)
Tb (0.3200, 0.1536, 0.9977)
Tb (0.6800, 0.8464, 0.0023)
Tb (0.8464, 0.6800, 0.5023)
Sm (0.4911, 0.5089, 0.2500)
Sm (0.5089, 0.4911, 0.7500)
Dy (0.0239, 0.1959, 0.9810)
Dy (0.0659, 0.5857, 0.2805)
Dy (0.1959, 0.0239, 0.4810)
Dy (0.2908, 0.5816, 0.9671)
Dy (0.4143, 0.9341, 0.2195)
Dy (0.4184, 0.7092, 0.5329)
Dy (0.5816, 0.2908, 0.4671)
Dy (0.5857, 0.0659, 0.7805)
Dy (0.7092, 0.4184, 0.0329)
Dy (0.8041, 0.9761, 0.5190)
Dy (0.9341, 0.4143, 0.7195)
Dy (0.9761, 0.8041, 0.0190)
Mg (0.2073, 0.7927, 0.7500)
Mg (0.7927, 0.2073, 0.2500)